The following is a SCAN calculation of Tb4InRh at its PBEsol-relaxed geometry, from Alexandria.

Geometry as extended XYZ:
```
24
Lattice="-8.087 -2.582 4.306 -7.351 -3.141 -5.168 -2.485 -9.183 0.348" Properties=species:S:1:pos:R:3 pbc="T T T"
Tb -6.938 -3.070 -0.358
Tb -10.750 -8.940 -0.308
Tb -7.817 -7.686 1.754
Tb -4.149 -1.878 1.603
Tb -4.927 -8.530 0.120
Tb -2.024 -4.383 0.101
Tb -9.507 -10.487 -3.099
Tb -8.417 -4.419 2.586
Tb -7.959 -4.767 -3.316
Tb -12.997 -6.375 -0.634
Tb -5.092 -5.362 1.735
Tb -4.813 -5.574 -1.860
Tb -3.870 -2.090 -1.992
Tb -9.965 -10.139 2.803
Tb -7.523 -7.909 -2.026
Tb -9.758 -5.276 -0.447
In -12.499 -11.372 1.272
In -14.099 -9.385 -0.542
In -12.257 -11.555 -1.844
In -14.917 -12.405 -0.427
Rh -7.034 -5.850 -0.202
Rh -10.197 -7.201 -2.425
Rh -8.103 -9.800 -0.052
Rh -10.513 -6.961 1.651
```

Values from the calculation:
Formation enthalpy at 0 K: -0.666 eV/atom
Size of the total moment: 0.0 μB/cell
Theoretical density: 9.29 g/cm³
SG: F-43m, No. 216
VASP energy: -43.034 eV per atom